Entry 1:
Ho8AlTe2 | GGA-PBE | relaxed

Computed properties:
The uncorrected formation energy comes out at -393.9 meV per atom. The total energy is -50.98 eV per cell. The total moment is 0.000 Bohr magnetons per cell.

abc: 6.203 8.564 8.564
angles: 45.06 91.96 91.96
Atoms (fractional coordinates):
Ho: 0.350 0.346 0.842
Ho: 0.886 0.201 0.201
Ho: 0.650 0.654 0.158
Ho: 0.350 0.842 0.346
Ho: 0.874 0.582 0.582
Ho: 0.126 0.418 0.418
Ho: 0.650 0.158 0.654
Ho: 0.114 0.799 0.799
Al: 0.000 0.000 0.000
Te: 0.620 0.739 0.739
Te: 0.380 0.261 0.261

---

Entry 2:
HoAlTe3 | GGA-PBE | relaxed

Computed properties:
The uncorrected formation energy comes out at -903.9 meV per atom. Its polymorph energy (0 for the lowest one) is 0.000 eV/atom. The total energy is -44.53 eV per cell. The total moment is 0.000 Bohr magnetons per cell.

abc: 4.284 7.152 13.270
angles: 105.63 90.00 90.00
Atoms (fractional coordinates):
Te: 0.250 0.712 0.449
Te: 0.250 0.425 0.839
Te: 0.750 0.891 0.763
Te: 0.750 0.586 0.161
Te: 0.250 0.128 0.237
Te: 0.750 0.262 0.551
Ho: 0.250 0.056 0.653
Ho: 0.750 0.404 0.347
Al: 0.250 0.777 0.260
Al: 0.750 0.517 0.740

---

Entry 3:
Ho4AlTe2 | GGA-PBE | relaxed

Computed properties:
The uncorrected formation energy comes out at -732.7 meV per atom. The total energy is -66.93 eV per cell. The total moment is 0.000 Bohr magnetons per cell.

abc: 4.124 7.238 14.440
angles: 90.00 90.00 106.55
Atoms (fractional coordinates):
Ho: 0.500 0.000 0.000
Ho: 0.944 0.889 0.750
Ho: 0.213 0.426 0.866
Ho: 0.056 0.111 0.250
Ho: 0.787 0.574 0.134
Ho: 0.500 0.000 0.500
Ho: 0.787 0.574 0.366
Ho: 0.213 0.426 0.634
Al: 0.400 0.800 0.250
Al: 0.600 0.200 0.750
Te: 0.856 0.712 0.562
Te: 0.144 0.288 0.438
Te: 0.144 0.288 0.062
Te: 0.856 0.712 0.938

---

Entry 4:
Ho5Al2Te2 | GGA-PBE | relaxed

Computed properties:
The uncorrected formation energy comes out at -790.0 meV per atom. The total energy is -87.54 eV per cell. The total moment is 0.007 Bohr magnetons per cell.

abc: 7.897 7.922 8.665
angles: 90.00 62.89 90.00
Atoms (fractional coordinates):
Te: 0.705 0.500 0.590
Te: 0.795 0.000 0.410
Te: 0.295 0.500 0.410
Te: 0.205 0.000 0.590
Ho: 0.799 0.831 0.740
Ho: 0.461 0.169 0.740
Ho: 0.039 0.669 0.260
Ho: 0.201 0.169 0.260
Ho: 0.299 0.669 0.740
Ho: 0.961 0.331 0.740
Ho: 0.500 0.500 0.000
Ho: 0.701 0.331 0.260
Ho: 0.000 0.000 0.000
Ho: 0.539 0.831 0.260
Al: 0.376 0.878 0.000
Al: 0.876 0.622 0.000
Al: 0.124 0.378 0.000
Al: 0.624 0.122 0.000

---

Entry 5:
Ho4AlTe3 | GGA-PBE | relaxed

Computed properties:
The uncorrected formation energy comes out at -1040.2 meV per atom. The total energy is -39.80 eV per cell. The total moment is 0.000 Bohr magnetons per cell.

abc: 4.237 7.564 7.564
angles: 108.64 90.00 90.00
Atoms (fractional coordinates):
Te: 0.000 0.500 0.000
Te: 0.500 0.500 0.500
Te: 0.000 0.000 0.500
Ho: 0.500 0.763 0.237
Ho: 0.000 0.234 0.234
Ho: 0.000 0.766 0.766
Ho: 0.500 0.237 0.763
Al: 0.500 0.000 0.000

---

Entry 6:
Ho8Al2Te | GGA-PBE | relaxed

Computed properties:
The uncorrected formation energy comes out at -309.9 meV per atom. The total energy is -50.66 eV per cell. The total moment is 0.000 Bohr magnetons per cell.

abc: 4.913 6.794 9.959
angles: 102.65 104.28 90.00
Atoms (fractional coordinates):
Al: 0.187 0.750 0.374
Al: 0.813 0.250 0.626
Ho: 0.660 0.981 0.319
Ho: 0.340 0.019 0.681
Ho: 0.970 0.241 0.939
Ho: 0.402 0.529 0.804
Ho: 0.030 0.759 0.061
Ho: 0.784 0.686 0.568
Ho: 0.216 0.314 0.432
Ho: 0.598 0.471 0.196
Te: 0.500 0.000 0.000

---

Entry 7:
HoAlTe3 | GGA-PBE | relaxed

Computed properties:
The uncorrected formation energy comes out at -790.2 meV per atom. Its polymorph energy (0 for the lowest one) is 0.114 eV/atom. The total energy is -86.78 eV per cell. The total moment is 0.000 Bohr magnetons per cell.

abc: 7.528 7.817 10.767
angles: 90.00 97.71 90.00
Atoms (fractional coordinates):
Ho: 0.064 0.367 0.715
Ho: 0.436 0.867 0.785
Ho: 0.936 0.633 0.285
Ho: 0.564 0.133 0.215
Te: 0.343 0.164 0.596
Te: 0.349 0.196 0.933
Te: 0.849 0.304 0.433
Te: 0.157 0.664 0.904
Te: 0.151 0.696 0.567
Te: 0.649 0.552 0.692
Te: 0.851 0.052 0.808
Te: 0.657 0.836 0.404
Te: 0.651 0.804 0.067
Te: 0.149 0.948 0.192
Te: 0.351 0.448 0.308
Te: 0.843 0.336 0.096
Al: 0.349 0.676 0.124
Al: 0.151 0.176 0.376
Al: 0.651 0.324 0.876
Al: 0.849 0.824 0.624

---

Entry 8:
Ho5AlTe4 | GGA-PBE | relaxed

Computed properties:
The uncorrected formation energy comes out at -1102.7 meV per atom. The total energy is -50.23 eV per cell. The total moment is 0.000 Bohr magnetons per cell.

abc: 6.104 7.512 7.512
angles: 80.50 66.03 66.03
Atoms (fractional coordinates):
Ho: 0.719 0.185 0.378
Ho: 0.097 0.622 0.185
Ho: 0.502 0.000 0.000
Ho: 0.905 0.378 0.815
Ho: 0.282 0.815 0.622
Te: 0.805 0.789 0.602
Te: 0.196 0.211 0.398
Te: 0.594 0.602 0.211
Te: 0.408 0.398 0.789
Al: 0.002 0.000 0.000

---

- Among the records above, which one has the highest total moment?
  Ho5Al2Te2